# SrAs2RhSe

SrAs2RhSe after structural relaxation (PBE, the Alexandria database).

Computed properties:
M_tot in μB/cell: 0.00
DOS(E_F) in states/eV per atom: 0.65
Total DFT energy (no corrections) in eV/cell: -23.93
Energy above the lowest structure with this stoichiometry in meV/atom: 0.0
Formation energy without anion corrections in kcal/mol of atoms: -9.76

a = 4.7323 Å, b = 4.7323 Å, c = 5.5951 Å
α = 90.00°, β = 90.00°, γ = 90.00°
Fractional coordinates of all 5 atoms:
Sr 0.0000 0.0000 0.0000
As 0.0000 0.5000 0.5000
As 0.5000 0.0000 0.5000
Rh 0.5000 0.5000 0.5000
Se 0.5000 0.5000 0.0000



# ZrHIr2Rh

ZrHIr2Rh after structural relaxation (PBE, the Alexandria database).

Computed properties:
M_tot in μB/cell: 0.00
DOS(E_F) in states/eV per atom: 0.41
Total DFT energy (no corrections) in eV/cell: -39.52
Energy above the lowest structure with this stoichiometry in meV/atom: 65.6

a = 3.9588 Å, b = 3.9588 Å, c = 4.1746 Å
α = 90.00°, β = 90.00°, γ = 90.00°
Fractional coordinates of all 5 atoms:
Zr 0.0000 0.0000 0.0000
H 0.0000 0.0000 0.5000
Ir 0.0000 0.5000 0.5000
Ir 0.5000 0.0000 0.5000
Rh 0.5000 0.5000 0.0000



# ZnSn3P

ZnSn3P after structural relaxation (PBE, the Alexandria database).

Computed properties:
M_tot in μB/cell: 0.00
DOS(E_F) in states/eV per atom: 0.62
Total DFT energy (no corrections) in eV/cell: -15.62
Calculated formation energy in kJ/mol of atoms: 59.2
Energy above the lowest structure with this stoichiometry in meV/atom: 79.6

a = 5.1461 Å, b = 5.1461 Å, c = 5.1461 Å
α = 90.00°, β = 90.00°, γ = 90.00°
Fractional coordinates of all 5 atoms:
Zn 0.0000 0.0000 0.0000
Sn 0.0000 0.0000 0.5000
Sn 0.0000 0.5000 0.0000
Sn 0.5000 0.0000 0.0000
P 0.5000 0.5000 0.5000



# ErTiPd

ErTiPd after structural relaxation (PBE, the Alexandria database).

Computed properties:
M_tot in μB/cell: 0.14
DOS(E_F) in states/eV per atom: 1.33
Total DFT energy (no corrections) in eV/cell: -36.27
Calculated formation energy in kJ/mol of atoms: -15.6

a = 12.4849 Å, b = 3.4461 Å, c = 3.4461 Å
α = 60.57°, β = 90.00°, γ = 90.00°
Fractional coordinates of all 6 atoms:
Er 0.1682 0.0000 0.0000
Er 0.8318 0.0000 0.0000
Ti 0.3678 0.3372 0.3372
Ti 0.6322 0.3372 0.3372
Pd 0.0000 0.3360 0.3360
Pd 0.5000 0.0022 0.0022